# 1
The following is a PBE calculation of a relaxed structure of LiIn2B2Rh5, from Alexandria.

- Theoretical density: 9.57 g/cm³
- SG: P4/mbm (127)
- Formation enthalpy at 0 K: -357 meV per atom

Lattice parameters (Å, degrees): 9.5238 9.5238 2.9577 90.00 90.00 90.00
Fractional coordinates of all 20 atoms:
Li (0.0000, 0.0000, 0.0000)
Li (0.5000, 0.5000, 0.0000)
In (0.1782, 0.3218, 0.0000)
In (0.3218, 0.8218, 0.0000)
In (0.6782, 0.1782, 0.0000)
In (0.8218, 0.6782, 0.0000)
B (0.1277, 0.6277, 0.0000)
B (0.3723, 0.1277, 0.0000)
B (0.6277, 0.8723, 0.0000)
B (0.8723, 0.3723, 0.0000)
Rh (0.0000, 0.5000, 0.5000)
Rh (0.0686, 0.7827, 0.5000)
Rh (0.2173, 0.0686, 0.5000)
Rh (0.2827, 0.5686, 0.5000)
Rh (0.4314, 0.2827, 0.5000)
Rh (0.5000, 0.0000, 0.5000)
Rh (0.5686, 0.7173, 0.5000)
Rh (0.7173, 0.4314, 0.5000)
Rh (0.7827, 0.9314, 0.5000)
Rh (0.9314, 0.2173, 0.5000)

# 2
The following is a PBE calculation of a relaxed structure of AgRuBrCl6, from Alexandria.

- Theoretical density: 2.93 g/cm³
- ΔE_f (raw): -360.3 meV/atom
- SG: P1 (1)

Lattice parameters (Å, degrees): 6.6858 6.7112 7.3832 94.45 94.08 119.77
Fractional coordinates of all 9 atoms:
Ag (0.0000, 0.0000, 0.0000)
Ru (0.6453, 0.3556, 0.9978)
Br (0.7932, 0.2083, 0.4977)
Cl (0.3383, 0.0418, 0.8080)
Cl (0.3913, 0.3742, 0.1844)
Cl (0.6271, 0.6088, 0.8128)
Cl (0.6718, 0.0779, 0.1711)
Cl (0.9235, 0.3285, 0.8230)
Cl (0.9599, 0.6612, 0.1879)

Number 1: total magnetization 0.00 μB per formula unit, VASP energy -6.11 eV/atom. Number 2: total magnetization 2.05 μB per formula unit, VASP energy -3.12 eV/atom.